[1]
Density functional theory data (PBE) for an optimized crystal structure of Sm4Tm3ScSe8.

a = 8.0652 Å, b = 8.0652 Å, c = 20.4720 Å
α = 90.00°, β = 90.00°, γ = 120.00°
Space group R-3m (No. 166, hexagonal axes)
Symmetry-distinct sites (fractional):
Sm 0.0000 0.0000 0.0000
Sm 0.0000 0.5000 0.0000
Tm 0.0000 0.5000 0.5000
Sc 0.0000 0.0000 0.5000
Se 0.0000 0.0000 0.2448
Se 0.0045 0.5023 0.2438

## Properties
M_tot ... 0.00 μB/atom
Mass density ... 7.710 Mg/m³
Crystal system ... trigonal
E ... -282.5 eV per cell
DOS(E_F) ... 28.92 states/eV per cell
Formation energy from raw total energies ... -1.728 eV/atom



[2]
Density functional theory data (PBE) for an optimized crystal structure of RbHgSb2Te4.

a = 4.606 Å, b = 14.811 Å, c = 16.834 Å
α = 90.00°, β = 90.00°, γ = 90.00°
Space group Cmcm (No. 63)
Symmetry-distinct sites (fractional):
Rb 0.000 0.125 0.250
Hg 0.000 0.174 0.750
Sb 0.000 0.370 0.062
Te 0.000 0.000 0.000
Te 0.000 0.268 0.598
Te 0.000 0.440 0.250

## Properties
M_tot ... 0.00 μB/atom
Mass density ... 6.015 Mg/m³
Crystal system ... orthorhombic
E ... -95.9 eV per cell
DOS(E_F) ... 9.83 states/eV per cell
Formation energy from raw total energies ... -0.235 eV/atom



[3]
Density functional theory data (PBE) for an optimized crystal structure of Ta3Cr2.

a = 5.230 Å, b = 9.298 Å, c = 13.103 Å
α = 90.00°, β = 90.00°, γ = 90.00°
Space group Fddd (No. 70, origin choice 2)
Symmetry-distinct sites (fractional):
Ta 0.125 0.125 0.017
Ta 0.125 0.125 0.625
Cr 0.125 0.125 0.427

## Properties
M_tot ... 0.00 μB/atom
Mass density ... 13.485 Mg/m³
Relative energy among the computed polymorphs ... 0.000 eV per atom
Energy relative to the elements ... 5.17 kcal/mol of atoms
Crystal system ... orthorhombic
E ... -429.5 eV per cell
DOS(E_F) ... 52.90 states/eV per cell



[4]
Density functional theory data (PBE) for an optimized crystal structure of Pm2HfGe4Ir3.

a = 4.209 Å, b = 4.209 Å, c = 10.999 Å
α = 90.00°, β = 90.00°, γ = 90.00°
Space group P-4m2 (No. 115)
Symmetry-distinct sites (fractional):
Pm 0.000 0.500 0.238
Hf 0.000 0.000 0.500
Ge 0.000 0.000 0.000
Ge 0.000 0.500 0.654
Ge 0.500 0.500 0.000
Ir 0.000 0.500 0.879
Ir 0.500 0.500 0.500

## Properties
M_tot ... 0.00 μB/atom
Mass density ... 11.384 Mg/m³
Energy relative to the elements ... -17.29 kcal/mol of atoms
Crystal system ... tetragonal
E ... -72.0 eV per cell
DOS(E_F) ... 6.36 states/eV per cell



[5]
Density functional theory data (PBE) for an optimized crystal structure of K5LiAu4.

a = 20.520 Å, b = 4.698 Å, c = 8.215 Å
α = 90.00°, β = 111.68°, γ = 90.00°
Space group C2/m (No. 12)
Symmetry-distinct sites (fractional):
K 0.000 0.000 0.000
K 0.144 0.500 0.759
K 0.194 0.500 0.291
Li 0.000 0.000 0.500
Au 0.030 0.500 0.353
Au 0.120 0.000 0.441

## Properties
M_tot ... 0.00 μB/atom
Mass density ... 4.469 Mg/m³
Energy relative to the elements ... -6.19 kcal/mol of atoms
Crystal system ... monoclinic
E ... -46.4 eV per cell
DOS(E_F) ... 9.75 states/eV per cell



[6]
Density functional theory data (PBE) for an optimized crystal structure of BaSr2Y.

a = 5.813 Å, b = 5.813 Å, c = 5.750 Å
α = 90.00°, β = 90.00°, γ = 90.00°
Space group P4/mmm (No. 123)
Symmetry-distinct sites (fractional):
Ba 0.000 0.000 0.000
Sr 0.000 0.500 0.500
Y 0.500 0.500 0.000

## Properties
M_tot ... 0.17 μB/atom
Mass density ... 3.431 Mg/m³
Relative energy among the computed polymorphs ... 0.077 eV per atom
Energy relative to the elements ... 5.18 kcal/mol of atoms
Crystal system ... tetragonal
E ... -10.9 eV per cell
DOS(E_F) ... 7.81 states/eV per cell



[7]
Density functional theory data (PBE) for an optimized crystal structure of Al2MoIrOs.

a = 4.618 Å, b = 4.618 Å, c = 4.619 Å
α = 90.00°, β = 90.00°, γ = 90.00°
Space group P4/mmm (No. 123)
Symmetry-distinct sites (fractional):
Al 0.000 0.500 0.000
Mo 0.000 0.000 0.000
Ir 0.500 0.500 0.500
Os 0.000 0.000 0.500

## Properties
M_tot ... 0.20 μB/atom
Mass density ... 8.972 Mg/m³
Energy relative to the elements ... 35.69 kcal/mol of atoms
Crystal system ... tetragonal
E ... -30.7 eV per cell
DOS(E_F) ... 5.24 states/eV per cell



[8]
Density functional theory data (PBE) for an optimized crystal structure of ZnMo2Os.

a = 3.124 Å, b = 4.424 Å, c = 8.768 Å
α = 90.00°, β = 90.00°, γ = 90.00°
Space group Imm2 (No. 44)
Symmetry-distinct sites (fractional):
Zn 0.000 0.000 0.000
Mo 0.000 0.000 0.502
Mo 0.000 0.500 0.764
Os 0.000 0.500 0.245

## Properties
M_tot ... 0.00 μB/atom
Mass density ... 12.264 Mg/m³
Energy relative to the elements ... 4.24 kcal/mol of atoms
Crystal system ... orthorhombic
E ... -66.9 eV per cell
DOS(E_F) ... 6.90 states/eV per cell